# SmTmCdHg (PBE-GGA, optimized geometry)
data_SmTmCdHg
_symmetry_space_group_name_H-M 'P 1'
_symmetry_Int_Tables_number 1
_symmetry_space_group_name_Hall 'P 1'
_cell_length_a 5.2979
_cell_length_b 5.2979
_cell_length_c 5.2979
_cell_angle_alpha 60.00
_cell_angle_beta 60.00
_cell_angle_gamma 60.00
loop_
_atom_site_label
_atom_site_fract_x
_atom_site_fract_y
_atom_site_fract_z
Tm1 0.5000 0.5000 0.5000
Hg1 0.2500 0.2500 0.2500
Sm1 0.0000 0.0000 0.0000
Cd1 0.7500 0.7500 0.7500
# - DFT formation energy: -0.385 eV per atom
# - Energy: -2.99 eV per atom
# - Fermi-level density of states: 4.14 states/eV per cell